Density functional theory data (PBE) for BaPu2WN4 after structural relaxation.

a b c (Å): 3.5015 6.5278 12.1656
angles (deg): 90.00 90.00 105.56
Fractional positions:
Ba  0.0849  0.1697  0.7500
Ba  0.9151  0.8303  0.2500
Pu  0.3713  0.7426  0.5371
Pu  0.6287  0.2574  0.0371
Pu  0.6287  0.2574  0.4629
Pu  0.3713  0.7426  0.9629
W  0.8230  0.6459  0.7500
W  0.1770  0.3541  0.2500
N  0.2562  0.5125  0.1157
N  0.7438  0.4875  0.6157
N  0.7438  0.4875  0.8843
N  0.2562  0.5125  0.3843
N  0.0000  0.0000  0.5000
N  0.0000  0.0000  0.0000
N  0.4024  0.8048  0.7500
N  0.5976  0.1952  0.2500

Properties
**Raw total energy**: -10.470 eV per atom
**Symmetry**: No. 63
**Size of the total moment**: 21.53 Bohr magnetons per cell